No. 1
CaTl2Pd5 GGA-PBE optimized geometry; formation energy = -0.350 eV/atom; E = -4.44 eV/atom
1.0
-2.116 2.914 6.526
2.116 -2.914 6.526
2.116 2.914 -6.526
Ca Tl Pd
1 2 5
Direct
0.000 0.000 0.000 Ca
0.284 0.784 0.500 Tl
0.716 0.216 0.500 Tl
0.152 0.392 0.760 Pd
0.368 0.608 0.760 Pd
0.500 0.000 0.500 Pd
0.632 0.392 0.240 Pd
0.848 0.608 0.240 Pd

No. 2
CaTlPd2 GGA-PBE optimized geometry; formation energy = -0.499 eV/atom; E = -4.19 eV/atom
1.0
0.000 3.424 3.424
3.424 0.000 3.424
3.424 3.424 0.000
Ca Tl Pd
1 1 2
Direct
0.000 0.000 0.000 Ca
0.500 0.500 0.500 Tl
0.250 0.250 0.250 Pd
0.750 0.750 0.750 Pd

No. 3
Ca3Tl2Pd GGA-PBE optimized geometry; formation energy = -0.482 eV/atom; E = -3.14 eV/atom
1.0
2.603 -7.752 0.000
2.603 7.752 0.000
0.000 0.000 7.986
Ca Tl Pd
6 4 2
Direct
0.000 0.000 0.236 Ca
0.000 0.000 0.764 Ca
0.327 0.673 0.223 Ca
0.327 0.673 0.777 Ca
0.673 0.327 0.223 Ca
0.673 0.327 0.777 Ca
0.166 0.834 0.500 Tl
0.500 0.500 0.000 Tl
0.500 0.500 0.500 Tl
0.834 0.166 0.500 Tl
0.161 0.839 0.000 Pd
0.839 0.161 0.000 Pd

No. 4
Ca4Tl5Pd6 GGA-PBE optimized geometry; formation energy = -0.456 eV/atom; E = -3.86 eV/atom
1.0
2.117 -10.955 0.000
2.117 10.955 0.000
0.000 0.000 15.075
Ca Tl Pd
8 10 12
Direct
0.026 0.974 0.500 Ca
0.065 0.935 0.782 Ca
0.121 0.879 0.276 Ca
0.190 0.810 0.953 Ca
0.810 0.190 0.453 Ca
0.879 0.121 0.776 Ca
0.935 0.065 0.282 Ca
0.974 0.026 0.000 Ca
0.187 0.813 0.605 Tl
0.314 0.686 0.281 Tl
0.327 0.673 0.619 Tl
0.362 0.638 0.944 Tl
0.477 0.523 0.662 Tl
0.523 0.477 0.162 Tl
0.638 0.362 0.444 Tl
0.673 0.327 0.119 Tl
0.686 0.314 0.781 Tl
0.813 0.187 0.105 Tl
0.091 0.909 0.082 Pd
0.219 0.781 0.418 Pd
0.274 0.726 0.791 Pd
0.398 0.602 0.131 Pd
0.415 0.585 0.451 Pd
0.476 0.524 0.851 Pd
0.524 0.476 0.351 Pd
0.585 0.415 0.951 Pd
0.602 0.398 0.631 Pd
0.726 0.274 0.291 Pd
0.781 0.219 0.918 Pd
0.909 0.091 0.582 Pd

No. 5
CaTl3Pd3 GGA-PBE optimized geometry; formation energy = 0.101 eV/atom; E = -3.42 eV/atom
1.0
7.505 0.000 0.000
0.000 7.505 0.000
0.000 0.000 7.505
Ca Tl Pd
2 6 6
Direct
0.000 0.000 0.000 Ca
0.500 0.500 0.500 Ca
0.000 0.250 0.500 Tl
0.000 0.750 0.500 Tl
0.250 0.500 0.000 Tl
0.500 0.000 0.250 Tl
0.500 0.000 0.750 Tl
0.750 0.500 0.000 Tl
0.000 0.500 0.250 Pd
0.000 0.500 0.750 Pd
0.250 0.000 0.500 Pd
0.500 0.250 0.000 Pd
0.500 0.750 0.000 Pd
0.750 0.000 0.500 Pd

No. 6
CaTl3Pd GGA-PBE optimized geometry; formation energy = -0.072 eV/atom; E = -2.93 eV/atom
1.0
5.357 0.000 0.000
0.000 5.357 0.000
0.000 0.000 5.357
Ca Tl Pd
1 3 1
Direct
0.000 0.000 0.000 Ca
0.000 0.500 0.500 Tl
0.500 0.000 0.500 Tl
0.500 0.500 0.000 Tl
0.500 0.500 0.500 Pd

Question: formation energy of number 4 (Ca4Tl5Pd6)?
Answer: -0.456 eV/atom

Question: Which of these has the highest E?
Answer: CaTl3Pd

Question: Look up the E of the fourth one.
Answer: -3.86 eV/atom

Question: The highest formation energy belongs to which entry?
Answer: CaTl3Pd3